The following is a GGA-PBE calculation of crystalline AsPAuC at its relaxed geometry, from Alexandria via LeMat-Bulk.

a = 3.0424 Å, b = 4.0030 Å, c = 6.2536 Å
α = 90.00°, β = 104.23°, γ = 90.00°
Fractional coordinates of all 4 atoms:
P: 0.3505 0.5000 0.7392
C: 0.4944 0.5000 0.0227
As: 0.0902 0.5000 0.2125
Au: 0.2333 0.0000 0.4980

- ΔE to the lowest computed polymorph: 13.61 kJ per mole of atoms
- Formation enthalpy at 0 K: 1.94 eV/f.u.
- Volume: 18.5 Å³ per atom
- Crystal system: monoclinic